Computed, not measured: a relaxed ZrCr3Cd crystal at the PBE level of DFT.

Computed properties:
D(E_F) = 0.5394 states/eV per atom
raw total energy = -6.1066 eV/atom
energy relative to the elements = 1560 meV per atom

Lattice parameters (Å, degrees): 4.8338 4.8338 4.8338 90.00 90.00 90.00
With the nearest neighbours (Å) after each atom.
Fractional coordinates of all 5 atoms:
Cr: 0.0000 0.5000 0.0000  2 Zr 2.42
Cr: 0.0000 0.0000 0.5000  2 Zr 2.42
Cr: 0.5000 0.0000 0.0000  2 Zr 2.42
Zr: 0.0000 0.0000 0.0000  6 Cr 2.42
Cd: 0.5000 0.5000 0.5000  12 Cr 3.42

---

Computed, not measured: a relaxed Tb2NdSmDy4 crystal at the PBE level of DFT.

Computed properties:
D(E_F) = 2.1758 states/eV per atom
raw total energy = -4.2202 eV/atom
energy relative to the elements = 424 meV per atom

Lattice parameters (Å, degrees): 9.5208 9.5208 11.8132 128.35 128.35 88.47
With the nearest neighbours (Å) after each atom.
Fractional coordinates of all 16 atoms:
Tb: 0.5000 0.0000 0.0000  6 Dy 3.30-3.41, 2 Nd 3.41
Tb: 0.5000 0.0000 0.5000  6 Dy 3.30-3.41, 2 Nd 3.41
Tb: 0.0000 0.0000 0.5000  6 Dy 3.30-3.40, 2 Tb 3.41
Tb: 0.5000 0.5000 0.0000  6 Dy 3.30-3.40, 2 Tb 3.41
Nd: 0.0000 0.5000 0.0000  6 Dy 3.34-3.42, 2 Tb 3.41
Nd: 0.0000 0.5000 0.5000  6 Dy 3.34-3.42, 2 Tb 3.41
Sm: 0.5000 0.5000 0.5000  6 Dy 3.34-3.43, 2 Sm 3.41
Sm: 0.0000 0.0000 0.0000  6 Dy 3.34-3.43, 2 Sm 3.41
Dy: 0.2532 0.7498 0.0018  3 Tb 3.30-3.41, 1 Sm 3.34, 2 Dy 3.39-3.43, 2 Nd 3.41-3.42
Dy: 0.7502 0.2468 0.4982  3 Tb 3.30-3.41, 1 Sm 3.34, 2 Dy 3.39-3.43, 2 Nd 3.41-3.42
Dy: 0.2498 0.7532 0.5018  3 Tb 3.30-3.41, 1 Sm 3.34, 2 Dy 3.39-3.43, 2 Nd 3.41-3.42
Dy: 0.7468 0.2502 0.9982  3 Tb 3.30-3.41, 1 Sm 3.34, 2 Dy 3.39-3.43, 2 Nd 3.41-3.42
Dy: 0.7475 0.7504 0.0006  3 Tb 3.30-3.40, 1 Nd 3.34, 2 Dy 3.41, 2 Sm 3.42-3.43
Dy: 0.7496 0.7525 0.4994  3 Tb 3.30-3.40, 1 Nd 3.34, 2 Dy 3.41, 2 Sm 3.42-3.43
Dy: 0.2504 0.2475 0.5006  3 Tb 3.30-3.40, 1 Nd 3.34, 2 Dy 3.41, 2 Sm 3.42-3.43
Dy: 0.2525 0.2496 0.9994  3 Tb 3.30-3.40, 1 Nd 3.34, 2 Dy 3.41, 2 Sm 3.42-3.43

---

Computed, not measured: a relaxed Li5In5Ag2 crystal at the PBE level of DFT.

Computed properties:
D(E_F) = 0.2628 states/eV per atom
raw total energy = -2.6316 eV/atom
energy relative to the elements = -218 meV per atom

Lattice parameters (Å, degrees): 4.4849 8.5777 6.9308 71.92 71.12 74.85
With the nearest neighbours (Å) after each atom.
Fractional coordinates of all 12 atoms:
Li: 0.9221 0.7384 0.4174  2 Ag 2.75-2.94, 5 In 2.95-3.03, 1 Li 3.04
Li: 0.2490 0.7315 0.7704  3 Ag 2.84-2.97, 4 In 2.92-3.04, 1 Li 2.98
Li: 0.7510 0.2685 0.2296  3 Ag 2.84-2.97, 4 In 2.92-3.04, 1 Li 2.98
Li: 0.0779 0.2616 0.5826  2 Ag 2.75-2.94, 5 In 2.95-3.03, 1 Li 3.04
Li: 0.0000 0.0000 0.0000  4 Li 2.98-3.04, 8 In 3.04-3.19
In: 0.5000 0.5000 0.5000  6 Li 2.92-2.95, 4 Ag 3.07, 2 In 3.08
In: 0.4038 0.2549 0.9376  3 Ag 2.93-2.94, 6 Li 2.97-3.22, 3 In 3.03-3.08
In: 0.3312 0.9885 0.3492  8 Li 3.01-3.19, 4 In 3.03-3.08
In: 0.6688 0.0115 0.6508  8 Li 3.01-3.19, 4 In 3.03-3.08
In: 0.5962 0.7451 0.0624  3 Ag 2.93-2.94, 6 Li 2.97-3.22, 3 In 3.03-3.08
Ag: 0.8433 0.4899 0.8235  5 Li 2.75-2.97, 5 In 2.93-3.07
Ag: 0.1567 0.5101 0.1765  5 Li 2.75-2.97, 5 In 2.93-3.07

---

Computed, not measured: a relaxed CeSi2Ag2 crystal at the PBE level of DFT.

Computed properties:
E_form (uncorrected) = -388 meV per atom
D(E_F) = 1.2247 states/eV per atom
raw total energy = -4.8847 eV/atom

Lattice parameters (Å, degrees): 6.1430 6.1430 6.1430 139.67 139.67 58.35
With the nearest neighbours (Å) after each atom.
Fractional coordinates of all 5 atoms:
Ce: 0.0000 0.0000 0.0000  8 Si 3.21, 8 Ag 3.42
Si: 0.6079 0.6079 0.0000  1 Si 2.32
Si: 0.3921 0.3921 0.0000  1 Si 2.32
Ag: 0.2500 0.7500 0.5000  4 Si 2.61
Ag: 0.7500 0.2500 0.5000  4 Si 2.61